The following is a GGA-PBEsol calculation of crystalline YZnPb at its relaxed geometry, from Alexandria.

Results
ΔH_f (0 K) = 5 kJ/mol of formula units
DFT total energy = -12.35 eV/cell
Total magnetic moment = 0.00 μB per cell
Density of states at the Fermi level = 0.66 states/eV/atom
SG = F-43m (216)

Cell lengths 4.899, 4.899, 4.899 Å; angles 60.00, 60.00, 60.00 degrees
Fractional positions:
Y: 0.000 0.000 0.000
Zn: 0.750 0.750 0.750
Pb: 0.250 0.250 0.250


The following is a GGA-PBEsol calculation of crystalline SrZrFeS2 at its relaxed geometry, from Alexandria.

Results
DFT total energy = -21.35 eV/cell
Total magnetic moment = 1.87 μB per cell
Density of states at the Fermi level = 1.41 states/eV/atom
E_form (uncorrected) = 1.46 eV/atom
SG = P4/mmm (123)

Cell lengths 5.210, 5.210, 5.628 Å; angles 90.00, 90.00, 90.00 degrees
Fractional positions:
Sr: 0.000 0.000 0.000
Zr: 0.000 0.000 0.500
Fe: 0.500 0.500 0.500
S: 0.000 0.500 0.000
S: 0.500 0.000 0.000


The following is a GGA-PBEsol calculation of crystalline InCuW2 at its relaxed geometry, from Alexandria.

Results
ΔH_f (0 K) = 192 kJ/mol of formula units
DFT total energy = -32.94 eV/cell
Total magnetic moment = 0.00 μB per cell
Density of states at the Fermi level = 0.42 states/eV/atom
SG = Cm (8)

Cell lengths 4.836, 4.836, 5.076 Å; angles 96.46, 96.46, 32.63 degrees
Fractional positions:
In: 0.000 0.000 0.000
Cu: 0.249 0.249 0.779
W: 0.509 0.509 0.510
W: 0.754 0.754 0.296


The following is a GGA-PBEsol calculation of crystalline CsMoN2 at its relaxed geometry, from Alexandria.

Results
DFT total energy = -64.05 eV/cell
Total magnetic moment = 0.00 μB per cell
Density of states at the Fermi level = 0.34 states/eV/atom
E_form (uncorrected) = -0.57 eV/atom
SG = Fd-3m (227)

Cell lengths 6.116, 6.116, 6.116 Å; angles 60.00, 60.00, 60.00 degrees
Fractional positions:
Cs: 0.125 0.125 0.125
Cs: 0.875 0.875 0.875
Mo: 0.375 0.375 0.375
Mo: 0.625 0.625 0.625
N: 0.000 0.500 0.500
N: 0.500 0.000 0.500
N: 0.500 0.500 0.000
N: 0.500 0.500 0.500


The following is a GGA-PBEsol calculation of crystalline SrLi2Ag at its relaxed geometry, from Alexandria.

Results
ΔH_f (0 K) = -27 kJ/mol of formula units
DFT total energy = -9.37 eV/cell
Total magnetic moment = 0.00 μB per cell
Density of states at the Fermi level = 0.42 states/eV/atom
SG = Immm (71)

Cell lengths 6.040, 6.040, 6.040 Å; angles 144.05, 128.97, 64.00 degrees
Fractional positions:
Sr: 0.000 0.000 0.000
Li: 0.293 0.793 0.500
Li: 0.707 0.207 0.500
Ag: 0.500 0.500 0.000


The following is a GGA-PBEsol calculation of crystalline CsMnAs at its relaxed geometry, from Alexandria.

Results
ΔH_f (0 K) = -70 kJ/mol of formula units
DFT total energy = -33.08 eV/cell
Total magnetic moment = 3.95 μB per cell
Density of states at the Fermi level = 0.77 states/eV/atom
SG = P4/nmm (129)

Cell lengths 3.863, 3.863, 12.212 Å; angles 90.00, 90.00, 90.00 degrees
Fractional positions:
Cs: 0.250 0.250 0.212
Cs: 0.750 0.750 0.788
Mn: 0.250 0.750 0.500
Mn: 0.750 0.250 0.500
As: 0.250 0.250 0.614
As: 0.750 0.750 0.386


The following is a GGA-PBEsol calculation of crystalline ZrAl3W at its relaxed geometry, from Alexandria.

Results
ΔH_f (0 K) = 907 kJ/mol of formula units
DFT total energy = -25.77 eV/cell
Total magnetic moment = 2.63 μB per cell
Density of states at the Fermi level = 0.34 states/eV/atom
SG = Pm-3m (221)

Cell lengths 4.852, 4.852, 4.852 Å; angles 90.00, 90.00, 90.00 degrees
Fractional positions:
Zr: 0.000 0.000 0.000
Al: 0.000 0.000 0.500
Al: 0.000 0.500 0.000
Al: 0.500 0.000 0.000
W: 0.500 0.500 0.500


The following is a GGA-PBEsol calculation of crystalline Tl2CrCuTe at its relaxed geometry, from Alexandria.

Results
DFT total energy = -19.67 eV/cell
Total magnetic moment = 4.58 μB per cell
Density of states at the Fermi level = 0.48 states/eV/atom
E_form (uncorrected) = 0.74 eV/atom
SG = P4/mmm (123)

Cell lengths 5.299, 5.299, 4.723 Å; angles 90.00, 90.00, 90.00 degrees
Fractional positions:
Tl: 0.000 0.500 0.000
Tl: 0.500 0.000 0.000
Cr: 0.000 0.000 0.000
Cu: 0.000 0.000 0.500
Te: 0.500 0.500 0.500


Question: What is the formula in the seventh record?
Answer: ZrAl3W


Question: Which of these has the highest DFT total energy?
Answer: SrLi2Ag